Computed, not measured: a relaxed Tm8Se3S3N crystal at the PBE-GGA level of DFT.

## Properties
Total DFT energy (no corrections) ... -0.2240 Ha/atom
Magnetic moment ... 0.0 μB/cell

abc: 7.817 7.817 7.817
angles: 58.81 58.81 58.81
Fractional positions:
Tm  0.241  0.241  0.241
Tm  0.267  0.722  0.722
Tm  0.278  0.278  0.733
Tm  0.278  0.733  0.278
Tm  0.722  0.267  0.722
Tm  0.722  0.722  0.267
Tm  0.733  0.278  0.278
Tm  0.759  0.759  0.759
Se  0.000  0.500  0.500
Se  0.500  0.000  0.500
Se  0.500  0.500  0.000
S  0.000  0.000  0.500
S  0.000  0.500  0.000
S  0.500  0.000  0.000
N  0.500  0.500  0.500